Entry 1:
NbVRuN2: optimized geometry, PBE-GGA.

Cell lengths 3.6928, 3.6928, 5.5263 Å; angles 90.00, 90.00, 90.00 degrees
Element x y z (fractional)
Nb 0.0000 0.0000 0.0000
V 0.0000 0.0000 0.5000
Ru 0.5000 0.5000 0.0000
N 0.0000 0.5000 0.5000
N 0.5000 0.0000 0.5000

M_tot = 0.09 μB/atom
Space-group type = P4/mmm, No. 123
VASP energy = -7.977 eV per atom
Crystal system = tetragonal
Formation energy (no corrections) = 5.230 eV/f.u.

Entry 2:
AlTlPb2: optimized geometry, PBE-GGA.

Cell lengths 5.4181, 5.4181, 5.4181 Å; angles 60.00, 60.00, 60.00 degrees
Element x y z (fractional)
Al 0.0000 0.0000 0.0000
Tl 0.5000 0.5000 0.5000
Pb 0.2500 0.2500 0.2500
Pb 0.7500 0.7500 0.7500

M_tot = 0.00 μB/atom
Space-group type = Fm-3m, No. 225
Excess energy over the best structure of this formula in the dataset = 75 meV per atom
VASP energy = -3.194 eV per atom
Crystal system = cubic
Formation energy = 188 meV per atom

Entry 3:
AcPm3: optimized geometry, PBE-GGA.

Cell lengths 5.2736, 5.2736, 5.2736 Å; angles 90.00, 90.00, 90.00 degrees
Element x y z (fractional)
Ac 0.0000 0.0000 0.0000
Pm 0.0000 0.5000 0.5000
Pm 0.5000 0.0000 0.5000
Pm 0.5000 0.5000 0.0000

M_tot = 0.00 μB/atom
Space-group type = Pm-3m, No. 221
Excess energy over the best structure of this formula in the dataset = 0 meV per atom
VASP energy = -4.561 eV per atom
Crystal system = cubic
Formation energy = 29 meV per atom

Entry 4:
BeAlRh3: optimized geometry, PBE-GGA.

Cell lengths 4.1010, 4.1010, 4.1010 Å; angles 90.00, 90.00, 90.00 degrees
Element x y z (fractional)
Be 0.0000 0.0000 0.0000
Al 0.5000 0.5000 0.5000
Rh 0.0000 0.0000 0.5000
Rh 0.0000 0.5000 0.0000
Rh 0.5000 0.0000 0.0000

M_tot = 0.00 μB/atom
Space-group type = Pm-3m, No. 221
Excess energy over the best structure of this formula in the dataset = 0 meV per atom
VASP energy = -6.094 eV per atom
Crystal system = cubic
Formation energy = -189 meV per atom

Entry 5:
TmAl2Pt5: optimized geometry, PBE-GGA.

Cell lengths 6.4917, 6.4917, 6.4917 Å; angles 145.87, 113.99, 76.45 degrees
Element x y z (fractional)
Tm 0.0000 0.0000 0.0000
Al 0.2587 0.7587 0.5000
Al 0.7413 0.2413 0.5000
Pt 0.1532 0.3601 0.7931
Pt 0.4330 0.6399 0.7931
Pt 0.5000 0.0000 0.5000
Pt 0.5670 0.3601 0.2069
Pt 0.8468 0.6399 0.2069

M_tot = 0.00 μB/atom
Space-group type = Immm, No. 71
VASP energy = -6.205 eV per atom
Crystal system = orthorhombic
Formation energy = -935 meV per atom

Entry 6:
Mn2AlSi2Ni5: optimized geometry, PBE-GGA.

Cell lengths 8.2585, 8.2585, 3.5497 Å; angles 90.00, 90.00, 90.00 degrees
Element x y z (fractional)
Mn 0.1722 0.3278 0.0000
Mn 0.3278 0.8278 0.0000
Mn 0.6722 0.1722 0.0000
Mn 0.8278 0.6722 0.0000
Al 0.0000 0.0000 0.0000
Al 0.5000 0.5000 0.0000
Si 0.1254 0.6254 0.0000
Si 0.3746 0.1254 0.0000
Si 0.6254 0.8746 0.0000
Si 0.8746 0.3746 0.0000
Ni 0.0000 0.5000 0.5000
Ni 0.0713 0.7962 0.5000
Ni 0.2038 0.0713 0.5000
Ni 0.2962 0.5713 0.5000
Ni 0.4287 0.2962 0.5000
Ni 0.5000 0.0000 0.5000
Ni 0.5713 0.7038 0.5000
Ni 0.7038 0.4287 0.5000
Ni 0.7962 0.9287 0.5000
Ni 0.9287 0.2038 0.5000

M_tot = 0.70 μB/atom
Space-group type = P4/mbm, No. 127
VASP energy = -6.534 eV per atom
Crystal system = tetragonal
Formation energy (no corrections) = -3.506 eV/f.u.

Entry 7:
Nd8PdRu2: optimized geometry, PBE-GGA.

Cell lengths 7.8183, 7.8183, 6.0994 Å; angles 100.18, 100.18, 114.12 degrees
Element x y z (fractional)
Nd 0.0799 0.3374 0.5880
Nd 0.2228 0.7772 0.0000
Nd 0.3374 0.0799 0.5880
Nd 0.3703 0.3703 0.1891
Nd 0.6297 0.6297 0.8109
Nd 0.6626 0.9201 0.4120
Nd 0.7772 0.2228 0.0000
Nd 0.9201 0.6626 0.4120
Pd 0.0000 0.0000 0.0000
Ru 0.3024 0.6976 0.5000
Ru 0.6976 0.3024 0.5000

M_tot = 0.00 μB/atom
Space-group type = C2/m, No. 12
VASP energy = -5.793 eV per atom
Crystal system = monoclinic
Formation energy = -167 meV per atom

Entry 8:
LiSn2Rh: optimized geometry, PBE-GGA.

Cell lengths 10.0333, 10.0333, 10.0333 Å; angles 17.93, 17.93, 17.93 degrees
Element x y z (fractional)
Li 0.0000 0.0000 0.0000
Sn 0.4130 0.4130 0.4130
Sn 0.5870 0.5870 0.5870
Rh 0.5000 0.5000 0.5000

M_tot = 0.00 μB/atom
Space-group type = R-3m, No. 166
VASP energy = -4.221 eV per atom
Crystal system = trigonal
Formation energy = 96 meV per atom

Question: Look up the M_tot of the second one.
Answer: 0.00 μB/atom

Question: What is the formula in the third record?
Answer: AcPm3

Question: What is the formula in the seventh record?
Answer: Nd8PdRu2